A relaxed structure of Li3V4O7F5, computed with PBE+U.

Values from the calculation:
Total magnetization in μB per cell: 4.0
E above lowest polymorph in eV per atom: 0.032
Raw total energy in eV per atom: -6.48

Cell and atoms, written as POSCAR:
```
Li3V4O7F5
1.0
-5.324 0.106 0.233
2.455 5.094 -0.648
0.324 -2.141 -8.829
F Li O V
5 3 7 4
Direct
0.059 0.692 0.263 F
0.584 0.638 0.117 F
0.542 0.188 0.593 F
0.857 0.432 0.898 F
0.142 0.739 0.559 F
0.608 0.593 0.907 Li
0.370 0.372 0.232 Li
0.731 0.606 0.580 Li
0.507 0.925 0.866 O
0.583 0.737 0.404 O
0.007 0.109 0.094 O
0.135 0.128 0.386 O
0.602 0.124 0.280 O
0.910 0.848 0.777 O
0.266 0.296 0.828 O
0.287 0.996 0.748 V
0.371 0.938 0.399 V
0.825 0.930 0.266 V
0.923 0.136 0.909 V
```